1.
CoAsPSe2: relaxed, GGA-PBE.

Unit cell a=4.687 b=4.687 c=4.439 alpha=90.00 beta=90.00 gamma=90.00
Fractional coordinates of all 5 atoms:
Co 0.000 0.000 0.000
As 0.000 0.000 0.500
P 0.500 0.500 0.500
Se 0.000 0.500 0.000
Se 0.500 0.000 0.000

The energy relative to the elements, uncorrected comes out at 0.656 eV/atom. As for the total magnetization: 0.0 μB per formula unit. Its crystal system is tetragonal.



2.
Th2Co4As3P: relaxed, GGA-PBE.

Unit cell a=4.158 b=4.158 c=9.284 alpha=90.00 beta=90.00 gamma=90.00
Fractional coordinates of all 10 atoms:
Th 0.000 0.500 0.248
Th 0.500 0.000 0.752
Co 0.000 0.000 0.500
Co 0.000 0.500 0.892
Co 0.500 0.000 0.108
Co 0.500 0.500 0.500
As 0.000 0.000 0.000
As 0.000 0.500 0.634
As 0.500 0.000 0.366
P 0.500 0.500 0.000

As for the total magnetization: 1.2 μB per formula unit. Its crystal system is tetragonal. Its calculated formation energy is -83 kJ per mole of atoms.



Please write out number 1 again, unchanged.
CoAsPSe2: relaxed, GGA-PBE.

Unit cell a=4.687 b=4.687 c=4.439 alpha=90.00 beta=90.00 gamma=90.00
Fractional coordinates of all 5 atoms:
Co 0.000 0.000 0.000
As 0.000 0.000 0.500
P 0.500 0.500 0.500
Se 0.000 0.500 0.000
Se 0.500 0.000 0.000

The energy relative to the elements, uncorrected comes out at 0.656 eV/atom. As for the total magnetization: 0.0 μB per formula unit. Its crystal system is tetragonal.